CoP2O6 | PBE+U | optimized geometry

a = 7.307 Å, b = 7.307 Å, c = 10.082 Å
α = 66.76°, β = 66.76°, γ = 70.04°
Site moments in Bohr magnetons follow the coordinates.
Sites, in units of the cell vectors:
O  0.789  0.309  0.582  0.04
O  0.591  0.348  0.404  0.02
O  0.284  0.997  0.436  0.01
O  0.211  0.691  0.418  0.04
O  0.032  0.812  0.653  0.01
O  0.348  0.591  0.904  0.02
O  0.310  0.153  0.154  0.03
O  0.003  0.716  0.064  0.01
O  0.153  0.310  0.654  0.03
O  0.847  0.690  0.346  0.03
O  0.968  0.188  0.347  0.01
O  0.781  0.624  0.674  0.04
O  0.812  0.032  0.153  0.01
O  0.690  0.847  0.846  0.03
O  0.376  0.219  0.826  0.04
O  0.624  0.781  0.174  0.04
O  0.716  0.003  0.564  0.01
O  0.997  0.284  0.936  0.01
O  0.691  0.211  0.918  0.04
O  0.309  0.789  0.082  0.04
O  0.652  0.409  0.096  0.02
O  0.188  0.968  0.847  0.01
O  0.219  0.376  0.326  0.04
O  0.409  0.652  0.596  0.02
P  0.230  0.754  0.976  0.01
P  0.814  0.795  0.195  0.01
P  0.246  0.770  0.524  0.01
P  0.795  0.814  0.695  0.01
P  0.186  0.205  0.805  0.01
P  0.770  0.246  0.024  0.01
P  0.205  0.186  0.305  0.01
P  0.754  0.230  0.476  0.01
Co  0.500  0.000  0.000  2.77
Co  0.553  0.447  0.750  2.77
Co  0.000  0.500  0.500  2.77
Co  0.447  0.553  0.250  2.77

Summary:
V	12.32	Å³/atom
energy relative to the lowest polymorph listed for this composition	0.00	eV/f.u.
DOS at the Fermi energy	0.000	states/eV/cell